1.
Compound: InPb3Au2
Source: the Alexandria database
Functional: PBE-GGA
Structure: relaxed

Summary:
Raw total energy   -3.4786 eV per atom
Spin magnetization   0.00 Bohr magnetons per cell
N(E_F)   2.374 states/eV/f.u.
ΔH_f (0 K)   -0.08 eV/atom
Space group   C2/m, No. 12

a = 8.654 Å, b = 8.654 Å, c = 11.846 Å
α = 119.71°, β = 119.71°, γ = 24.95°
Element x y z (fractional)
In (0.100, 0.100, 0.193)
In (0.900, 0.900, 0.807)
Pb (0.122, 0.122, 0.547)
Pb (0.254, 0.254, 0.872)
Pb (0.462, 0.462, 0.276)
Pb (0.538, 0.538, 0.724)
Pb (0.746, 0.746, 0.128)
Pb (0.878, 0.878, 0.453)
Au (0.095, 0.095, 0.951)
Au (0.316, 0.316, 0.602)
Au (0.684, 0.684, 0.398)
Au (0.905, 0.905, 0.049)


2.
Compound: InPbAu
Source: the Alexandria database
Functional: PBE-GGA
Structure: relaxed

Summary:
Raw total energy   -3.3242 eV per atom
Spin magnetization   0.00 Bohr magnetons per cell
N(E_F)   1.462 states/eV/f.u.
ΔH_f (0 K)   -0.08 eV/atom
Space group   Fddd, No. 70

a = 12.124 Å, b = 11.394 Å, c = 5.689 Å
α = 83.27°, β = 68.95°, γ = 27.77°
Element x y z (fractional)
In (0.048, 0.048, 0.202)
In (0.202, 0.202, 0.048)
In (0.798, 0.798, 0.952)
In (0.952, 0.952, 0.798)
Pb (0.206, 0.544, 0.206)
Pb (0.456, 0.794, 0.456)
Pb (0.544, 0.206, 0.544)
Pb (0.794, 0.456, 0.794)
Au (0.254, 0.254, 0.496)
Au (0.496, 0.496, 0.254)
Au (0.504, 0.504, 0.746)
Au (0.746, 0.746, 0.504)


3.
Compound: In2Pb2Au
Source: the Alexandria database
Functional: PBE-GGA
Structure: relaxed

Summary:
Raw total energy   -2.9790 eV per atom
Spin magnetization   0.00 Bohr magnetons per cell
N(E_F)   2.463 states/eV/f.u.
E above lowest polymorph   256 meV/atom
ΔH_f (0 K)   0.26 eV/atom
Space group   I4/mmm, No. 139

a = 8.521 Å, b = 8.521 Å, c = 8.521 Å
α = 150.28°, β = 150.28°, γ = 42.53°
Element x y z (fractional)
In (0.090, 0.090, 0.000)
In (0.910, 0.910, 0.000)
Pb (0.250, 0.750, 0.500)
Pb (0.750, 0.250, 0.500)
Au (0.500, 0.500, 0.000)


4.
Compound: InPbAu2
Source: the Alexandria database
Functional: PBE-GGA
Structure: relaxed

Summary:
Raw total energy   -3.2576 eV per atom
Spin magnetization   0.00 Bohr magnetons per cell
N(E_F)   1.161 states/eV/f.u.
ΔH_f (0 K)   -0.01 eV/atom
Space group   I-4m2, No. 119

a = 5.770 Å, b = 5.770 Å, c = 5.770 Å
α = 135.82°, β = 135.82°, γ = 64.25°
Element x y z (fractional)
In (0.000, 0.000, 0.000)
Pb (0.250, 0.750, 0.500)
Au (0.500, 0.500, 0.000)
Au (0.750, 0.250, 0.500)


5.
Compound: In2Pb5Au4
Source: the Alexandria database
Functional: PBE-GGA
Structure: relaxed

Summary:
Raw total energy   -3.4254 eV per atom
Spin magnetization   0.00 Bohr magnetons per cell
N(E_F)   4.542 states/eV/f.u.
ΔH_f (0 K)   -0.05 eV/atom
Space group   C2/m, No. 12

a = 10.665 Å, b = 10.665 Å, c = 8.202 Å
α = 103.45°, β = 103.45°, γ = 19.17°
Element x y z (fractional)
In (0.071, 0.071, 0.129)
In (0.929, 0.929, 0.871)
Pb (0.000, 0.000, 0.500)
Pb (0.326, 0.326, 0.079)
Pb (0.333, 0.333, 0.512)
Pb (0.667, 0.667, 0.488)
Pb (0.674, 0.674, 0.921)
Au (0.209, 0.209, 0.234)
Au (0.470, 0.470, 0.184)
Au (0.530, 0.530, 0.816)
Au (0.791, 0.791, 0.766)


6.
Compound: In5PbAu4
Source: the Alexandria database
Functional: PBE-GGA
Structure: relaxed

Summary:
Raw total energy   -3.1961 eV per atom
Spin magnetization   0.00 Bohr magnetons per cell
N(E_F)   3.964 states/eV/f.u.
ΔH_f (0 K)   -0.15 eV/atom
Space group   C2/m, No. 12

a = 7.872 Å, b = 7.872 Å, c = 7.018 Å
α = 94.50°, β = 94.50°, γ = 35.28°
Element x y z (fractional)
In (0.000, 0.000, 0.000)
In (0.326, 0.326, 0.497)
In (0.327, 0.327, 0.033)
In (0.673, 0.673, 0.967)
In (0.674, 0.674, 0.503)
Pb (0.000, 0.000, 0.500)
Au (0.181, 0.181, 0.744)
Au (0.467, 0.467, 0.782)
Au (0.533, 0.533, 0.218)
Au (0.819, 0.819, 0.256)


7.
Compound: InPb4Au5
Source: the Alexandria database
Functional: PBE-GGA
Structure: relaxed

Summary:
Raw total energy   -3.4214 eV per atom
Spin magnetization   0.00 Bohr magnetons per cell
N(E_F)   3.502 states/eV/f.u.
ΔH_f (0 K)   -0.03 eV/atom
Space group   P1, No. 1

a = 5.601 Å, b = 6.866 Å, c = 7.293 Å
α = 104.84°, β = 95.35°, γ = 103.47°
Element x y z (fractional)
In (0.000, 0.000, 0.000)
Pb (0.141, 0.708, 0.567)
Pb (0.235, 0.346, 0.779)
Pb (0.573, 0.178, 0.386)
Pb (0.585, 0.609, 0.239)
Au (0.041, 0.043, 0.396)
Au (0.081, 0.651, 0.115)
Au (0.466, 0.889, 0.973)
Au (0.688, 0.901, 0.632)
Au (0.718, 0.283, 0.922)


8.
Compound: In2PbAu8
Source: the Alexandria database
Functional: PBE-GGA
Structure: relaxed

Summary:
Raw total energy   -3.2685 eV per atom
Spin magnetization   0.00 Bohr magnetons per cell
N(E_F)   3.074 states/eV/f.u.
ΔH_f (0 K)   -0.05 eV/atom
Space group   C2/m, No. 12

a = 8.000 Å, b = 8.000 Å, c = 7.026 Å
α = 105.41°, β = 105.41°, γ = 30.50°
Element x y z (fractional)
In (0.221, 0.221, 0.160)
In (0.779, 0.779, 0.840)
Pb (0.500, 0.500, 0.500)
Au (0.042, 0.042, 0.219)
Au (0.146, 0.146, 0.720)
Au (0.318, 0.318, 0.586)
Au (0.407, 0.407, 0.032)
Au (0.593, 0.593, 0.968)
Au (0.682, 0.682, 0.414)
Au (0.854, 0.854, 0.280)
Au (0.958, 0.958, 0.781)